Here is a geometry-optimized Os2PtCl structure from the Alexandria database. Energies are from PBE.

a b c (Å): 2.7900 2.7900 29.2175
angles (deg): 90.00 90.00 120.00
Sites, in units of the cell vectors:
Os  0.0000  0.0000  0.0000
Os  0.0000  0.0000  0.2630
Os  0.3333  0.6667  0.6667
Os  0.3333  0.6667  0.9297
Os  0.6667  0.3333  0.3333
Os  0.6667  0.3333  0.5964
Pt  0.0000  0.0000  0.7458
Pt  0.3333  0.6667  0.4124
Pt  0.6667  0.3333  0.0791
Cl  0.0000  0.0000  0.5245
Cl  0.3333  0.6667  0.1911
Cl  0.6667  0.3333  0.8578

Calculated values
The value obtained for the formation energy (no corrections) is 390 meV per atom. The calculation puts the total DFT energy (no corrections) at -86.366 eV for the cell shown.